Record 1
# TaRePt2

Crystalline TaRePt2 at its relaxed geometry (PBE-GGA, the Alexandria database).

Its space group is I4/mmm (139). The polymorph energy (0 for the lowest one) comes out at 17 meV/atom. The total magnetization comes out at 0.0 μB/cell. As for the formation energy: -428 meV per atom. The mass density is 20.00 g cm⁻³.

Geometry as POSCAR:
```
TaRePt2
1.0
-1.9491 1.9491 4.1381
1.9491 -1.9491 4.1381
1.9491 1.9491 -4.1381
Ta Re Pt
1 1 2
Direct
0.0000 0.0000 0.0000 Ta
0.5000 0.5000 0.0000 Re
0.2500 0.7500 0.5000 Pt
0.7500 0.2500 0.5000 Pt
```

***

Record 2
# TaRePt

Crystalline TaRePt at its relaxed geometry (PBE-GGA, the Alexandria database).

Its space group is P2_1/m (11). The polymorph energy (0 for the lowest one) comes out at 109 meV/atom. The total magnetization comes out at 0.0 μB/cell. As for the formation energy: -99 meV per atom. The mass density is 18.80 g cm⁻³.

Geometry as POSCAR:
```
TaRePt
1.0
5.6794 0.0000 0.0000
0.0000 2.7785 0.0000
-1.3855 0.0000 6.2943
Ta Re Pt
2 2 2
Direct
0.2439 0.2500 0.0231 Ta
0.7561 0.7500 0.9769 Ta
0.0932 0.7500 0.3564 Re
0.9068 0.2500 0.6436 Re
0.4063 0.2500 0.6682 Pt
0.5937 0.7500 0.3318 Pt
```

***

Record 3
# TaRePt2

Crystalline TaRePt2 at its relaxed geometry (PBE-GGA, the Alexandria database).

Its space group is I-42d (122). The polymorph energy (0 for the lowest one) comes out at 582 meV/atom. The total magnetization comes out at 0.0 μB/cell. As for the formation energy: 138 meV per atom. The mass density is 18.24 g cm⁻³.

Geometry as POSCAR:
```
TaRePt2
1.0
-1.9179 1.9179 9.3689
1.9179 -1.9179 9.3689
1.9179 1.9179 -9.3689
Ta Re Pt
2 2 4
Direct
0.0000 0.0000 0.0000 Ta
0.7500 0.2500 0.5000 Ta
0.2500 0.7500 0.5000 Re
0.5000 0.5000 0.0000 Re
0.1303 0.6250 0.0053 Pt
0.3750 0.3803 0.5053 Pt
0.6197 0.1250 0.9947 Pt
0.8750 0.8697 0.4947 Pt
```

***

The lowest mass density belongs to which entry? number 3

***

Which value of mass density does entry 1 give? 20.00 g cm⁻³

***

Which of these has the highest polymorph energy (0 for the lowest one)? number 3